# 1
DFT (PBE) results for a relaxed MgBeCl2 crystal.

## Properties
- Magnetization: 0.0 μB per cell
- Energy: -2.968 eV/atom
- Calculated volume: 29.23 Å³/atom

Cell lengths 6.274, 6.274, 6.274 Å; angles 150.45, 100.21, 87.29 degrees
Fractional coordinates of all 4 atoms:
Mg 0.000 0.000 0.000
Be 0.756 0.256 0.500
Cl 0.198 0.698 0.500
Cl 0.615 0.615 0.000


# 2
DFT (PBE) results for a relaxed MgBe2Cl crystal.

## Properties
- Magnetization: 0.0 μB per cell
- Energy: -2.282 eV/atom
- Calculated volume: 15.88 Å³/atom

Cell lengths 3.097, 3.097, 7.627 Å; angles 90.00, 90.00, 119.71 degrees
Fractional coordinates of all 4 atoms:
Mg 0.000 0.000 0.000
Be 0.500 0.500 0.269
Be 0.500 0.500 0.731
Cl 0.000 0.000 0.500


# 3
DFT (PBE) results for a relaxed Mg2BeCl crystal.

## Properties
- Magnetization: 0.0 μB per cell
- Energy: -2.066 eV/atom
- Calculated volume: 21.02 Å³/atom

Cell lengths 3.108, 4.356, 6.212 Å; angles 90.00, 90.00, 90.00 degrees
Fractional coordinates of all 4 atoms:
Mg 0.000 0.000 0.000
Mg 0.500 0.000 0.500
Be 0.000 0.500 0.500
Cl 0.500 0.500 0.000


# 4
DFT (PBE) results for a relaxed Mg2BeCl crystal.

## Properties
- Magnetization: 0.0 μB per cell
- Energy: -2.200 eV/atom
- Calculated volume: 19.43 Å³/atom

Cell lengths 8.247, 8.247, 8.247 Å; angles 23.41, 23.41, 23.41 degrees
Fractional coordinates of all 4 atoms:
Mg 0.000 0.000 0.000
Mg 0.233 0.233 0.233
Be 0.493 0.493 0.493
Cl 0.742 0.742 0.742


# 5
DFT (PBE) results for a relaxed Mg3BeCl crystal.

## Properties
- Magnetization: 0.0 μB per cell
- Energy: -2.108 eV/atom
- Calculated volume: 23.21 Å³/atom

Cell lengths 4.877, 4.877, 4.877 Å; angles 90.00, 90.00, 90.00 degrees
Fractional coordinates of all 5 atoms:
Mg 0.000 0.000 0.500
Mg 0.000 0.500 0.000
Mg 0.500 0.000 0.000
Be 0.000 0.000 0.000
Cl 0.500 0.500 0.500


# 6
DFT (PBE) results for a relaxed Mg2BeCl crystal.

## Properties
- Magnetization: 0.0 μB per cell
- Energy: -2.392 eV/atom
- Calculated volume: 17.95 Å³/atom

Cell lengths 3.105, 3.105, 7.448 Å; angles 90.00, 90.00, 90.00 degrees
Fractional coordinates of all 4 atoms:
Mg 0.000 0.000 0.221
Mg 0.000 0.000 0.779
Be 0.500 0.500 0.000
Cl 0.500 0.500 0.500


# 7
DFT (PBE) results for a relaxed MgBeCl2 crystal.

## Properties
- Magnetization: 0.0 μB per cell
- Energy: -2.026 eV/atom
- Calculated volume: 20.62 Å³/atom

Cell lengths 4.886, 4.886, 4.886 Å; angles 60.00, 60.00, 60.00 degrees
Fractional coordinates of all 4 atoms:
Mg 0.000 0.000 0.000
Be 0.750 0.750 0.750
Cl 0.250 0.250 0.250
Cl 0.500 0.500 0.500


# 8
DFT (PBE) results for a relaxed MgBe2Cl crystal.

## Properties
- Magnetization: 0.0 μB per cell
- Energy: -2.365 eV/atom
- Calculated volume: 16.52 Å³/atom

Cell lengths 6.217, 6.217, 6.217 Å; angles 153.43, 141.92, 47.04 degrees
Fractional coordinates of all 4 atoms:
Mg 0.000 0.000 0.000
Be 0.240 0.740 0.500
Be 0.760 0.260 0.500
Cl 0.500 0.500 0.000


# 9
DFT (PBE) results for a relaxed MgBeCl2 crystal.

## Properties
- Magnetization: 0.0 μB per cell
- Energy: -3.097 eV/atom
- Calculated volume: 22.02 Å³/atom

Cell lengths 3.540, 3.540, 8.942 Å; angles 104.41, 104.41, 54.95 degrees
Fractional coordinates of all 4 atoms:
Mg 0.000 0.000 0.000
Be 0.245 0.245 0.751
Cl 0.642 0.642 0.607
Cl 0.750 0.750 0.172


# 10
DFT (PBE) results for a relaxed MgBe2Cl crystal.

## Properties
- Magnetization: 0.0 μB per cell
- Energy: -1.715 eV/atom
- Calculated volume: 18.53 Å³/atom

Cell lengths 4.715, 4.715, 4.715 Å; angles 60.00, 60.00, 60.00 degrees
Fractional coordinates of all 4 atoms:
Mg 0.000 0.000 0.000
Be 0.250 0.250 0.250
Be 0.750 0.750 0.750
Cl 0.500 0.500 0.500


# 11
DFT (PBE) results for a relaxed MgBeCl2 crystal.

## Properties
- Magnetization: 0.0 μB per cell
- Energy: -2.259 eV/atom
- Calculated volume: 18.65 Å³/atom

Cell lengths 4.630, 4.630, 3.481 Å; angles 90.00, 90.00, 90.09 degrees
Fractional coordinates of all 4 atoms:
Mg 0.000 0.000 0.000
Be 0.500 0.500 0.000
Cl 0.000 0.500 0.500
Cl 0.500 0.000 0.500


# 12
DFT (PBE) results for a relaxed MgBeCl2 crystal.

## Properties
- Magnetization: 0.0 μB per cell
- Energy: -3.070 eV/atom
- Calculated volume: 21.70 Å³/atom

Cell lengths 5.286, 3.242, 5.478 Å; angles 90.00, 112.41, 90.00 degrees
Fractional coordinates of all 4 atoms:
Mg 0.000 0.000 0.000
Be 0.181 0.500 0.700
Cl 0.442 0.000 0.686
Cl 0.879 0.500 0.322


# 13
DFT (PBE) results for a relaxed MgBeCl2 crystal.

## Properties
- Magnetization: 0.0 μB per cell
- Energy: -2.955 eV/atom
- Calculated volume: 24.76 Å³/atom

Cell lengths 11.150, 11.150, 11.150 Å; angles 16.63, 16.63, 16.63 degrees
Fractional coordinates of all 4 atoms:
Mg 0.000 0.000 0.000
Be 0.500 0.500 0.500
Cl 0.128 0.128 0.128
Cl 0.872 0.872 0.872


# 14
DFT (PBE) results for a relaxed MgBeCl4 crystal.

## Properties
- Magnetization: 2.0 μB per cell
- Energy: -1.508 eV/atom
- Calculated volume: 24.15 Å³/atom

Cell lengths 5.896, 5.896, 5.896 Å; angles 60.00, 60.00, 60.00 degrees
Fractional coordinates of all 6 atoms:
Mg 0.000 0.000 0.000
Be 0.750 0.750 0.750
Cl 0.375 0.375 0.375
Cl 0.375 0.375 0.875
Cl 0.375 0.875 0.375
Cl 0.875 0.375 0.375


# 15
DFT (PBE) results for a relaxed MgBeCl3 crystal.

## Properties
- Magnetization: 1.0 μB per cell
- Energy: -2.749 eV/atom
- Calculated volume: 23.62 Å³/atom

Cell lengths 4.906, 4.906, 4.906 Å; angles 90.00, 90.00, 90.00 degrees
Fractional coordinates of all 5 atoms:
Mg 0.000 0.000 0.000
Be 0.500 0.500 0.500
Cl 0.000 0.000 0.500
Cl 0.000 0.500 0.000
Cl 0.500 0.000 0.000


# 16
DFT (PBE) results for a relaxed MgBe2Cl crystal.

## Properties
- Magnetization: 0.0 μB per cell
- Energy: -2.346 eV/atom
- Calculated volume: 15.27 Å³/atom

Cell lengths 7.552, 7.552, 7.552 Å; angles 23.69, 23.69, 23.69 degrees
Fractional coordinates of all 4 atoms:
Mg 0.000 0.000 0.000
Be 0.243 0.243 0.243
Be 0.757 0.757 0.757
Cl 0.500 0.500 0.500


# 17
DFT (PBE) results for a relaxed MgBeCl2 crystal.

## Properties
- Magnetization: 0.6 μB per cell
- Energy: -2.344 eV/atom
- Calculated volume: 20.84 Å³/atom

Cell lengths 6.750, 6.750, 6.750 Å; angles 148.57, 148.57, 45.05 degrees
Fractional coordinates of all 4 atoms:
Mg 0.000 0.000 0.000
Be 0.250 0.750 0.500
Cl 0.500 0.500 0.000
Cl 0.750 0.250 0.500


# 18
DFT (PBE) results for a relaxed MgBe2Cl crystal.

## Properties
- Magnetization: 0.0 μB per cell
- Energy: -2.418 eV/atom
- Calculated volume: 17.55 Å³/atom

Cell lengths 5.379, 5.379, 5.379 Å; angles 148.84, 117.84, 71.17 degrees
Fractional coordinates of all 4 atoms:
Mg 0.000 0.000 0.000
Be 0.269 0.769 0.500
Be 0.471 0.471 0.000
Cl 0.642 0.142 0.500


# 19
DFT (PBE) results for a relaxed MgBeCl2 crystal.

## Properties
- Magnetization: 0.0 μB per cell
- Energy: -2.399 eV/atom
- Calculated volume: 19.21 Å³/atom

Cell lengths 3.316, 3.894, 5.952 Å; angles 90.00, 90.00, 90.00 degrees
Fractional coordinates of all 4 atoms:
Mg 0.000 0.000 0.000
Be 0.500 0.000 0.500
Cl 0.000 0.500 0.500
Cl 0.500 0.500 0.000


# 20
DFT (PBE) results for a relaxed Mg2BeCl crystal.

## Properties
- Magnetization: 0.0 μB per cell
- Energy: -2.271 eV/atom
- Calculated volume: 23.26 Å³/atom

Cell lengths 3.229, 3.229, 10.569 Å; angles 90.00, 90.00, 122.42 degrees
Fractional coordinates of all 4 atoms:
Mg 0.000 0.000 0.000
Mg 0.500 0.500 0.260
Be 0.000 0.000 0.468
Cl 0.500 0.500 0.593


# 21
DFT (PBE) results for a relaxed MgBe2Cl crystal.

## Properties
- Magnetization: 0.0 μB per cell
- Energy: -2.225 eV/atom
- Calculated volume: 16.46 Å³/atom

Cell lengths 3.690, 3.690, 4.836 Å; angles 90.00, 90.00, 90.00 degrees
Fractional coordinates of all 4 atoms:
Mg 0.000 0.000 0.000
Be 0.500 0.500 0.219
Be 0.500 0.500 0.781
Cl 0.000 0.000 0.500


# 22
DFT (PBE) results for a relaxed MgBeCl4 crystal.

## Properties
- Magnetization: 0.0 μB per cell
- Energy: -3.698 eV/atom
- Calculated volume: 26.06 Å³/atom

Cell lengths 6.172, 6.172, 14.219 Å; angles 90.00, 90.00, 120.00 degrees
Fractional coordinates of all 18 atoms:
Mg 0.000 0.456 0.167
Mg 0.456 0.000 0.833
Mg 0.544 0.544 0.500
Be 0.000 0.456 0.667
Be 0.456 0.000 0.333
Be 0.544 0.544 0.000
Cl 0.058 0.675 0.782
Cl 0.107 0.706 0.304
Cl 0.294 0.401 0.638
Cl 0.325 0.383 0.115
Cl 0.383 0.325 0.885
Cl 0.401 0.294 0.362
Cl 0.599 0.893 0.971
Cl 0.617 0.942 0.448
Cl 0.675 0.058 0.218
Cl 0.706 0.107 0.696
Cl 0.893 0.599 0.029
Cl 0.942 0.617 0.552


# 23
DFT (PBE) results for a relaxed MgBe2Cl crystal.

## Properties
- Magnetization: 0.0 μB per cell
- Energy: -2.315 eV/atom
- Calculated volume: 16.74 Å³/atom

Cell lengths 6.130, 6.130, 6.130 Å; angles 147.30, 147.30, 46.91 degrees
Fractional coordinates of all 4 atoms:
Mg 0.000 0.000 0.000
Be 0.250 0.750 0.500
Be 0.750 0.250 0.500
Cl 0.500 0.500 0.000


# 24
DFT (PBE) results for a relaxed MgBe2Cl crystal.

## Properties
- Magnetization: 0.0 μB per cell
- Energy: -2.618 eV/atom
- Calculated volume: 20.28 Å³/atom

Cell lengths 3.836, 3.836, 7.235 Å; angles 100.79, 100.79, 51.14 degrees
Fractional coordinates of all 4 atoms:
Mg 0.000 0.000 0.000
Be 0.293 0.293 0.738
Be 0.600 0.600 0.747
Cl 0.732 0.732 0.201


# 25
DFT (PBE) results for a relaxed Mg2BeCl crystal.

## Properties
- Magnetization: 0.0 μB per cell
- Energy: -1.974 eV/atom
- Calculated volume: 19.36 Å³/atom

Cell lengths 5.119, 5.119, 5.119 Å; angles 129.70, 129.70, 73.89 degrees
Fractional coordinates of all 4 atoms:
Mg 0.250 0.750 0.500
Mg 0.750 0.250 0.500
Be 0.000 0.000 0.000
Cl 0.500 0.500 0.000


# 26
DFT (PBE) results for a relaxed Mg2BeCl crystal.

## Properties
- Magnetization: 0.0 μB per cell
- Energy: -2.457 eV/atom
- Calculated volume: 18.31 Å³/atom

Cell lengths 7.845, 7.845, 7.845 Å; angles 24.54, 24.54, 24.54 degrees
Fractional coordinates of all 4 atoms:
Mg 0.245 0.245 0.245
Mg 0.755 0.755 0.755
Be 0.500 0.500 0.500
Cl 0.000 0.000 0.000


# 27
DFT (PBE) results for a relaxed MgBeCl2 crystal.

## Properties
- Magnetization: 0.0 μB per cell
- Energy: -2.626 eV/atom
- Calculated volume: 29.52 Å³/atom

Cell lengths 3.580, 3.292, 10.150 Å; angles 90.00, 99.26, 90.00 degrees
Fractional coordinates of all 4 atoms:
Mg 0.000 0.000 0.000
Be 0.000 0.000 0.500
Cl 0.328 0.500 0.147
Cl 0.672 0.500 0.853


# 28
DFT (PBE) results for a relaxed Mg2BeCl crystal.

## Properties
- Magnetization: 0.0 μB per cell
- Energy: -1.892 eV/atom
- Calculated volume: 20.99 Å³/atom

Cell lengths 4.915, 4.915, 4.915 Å; angles 60.00, 60.00, 60.00 degrees
Fractional coordinates of all 4 atoms:
Mg 0.250 0.250 0.250
Mg 0.750 0.750 0.750
Be 0.000 0.000 0.000
Cl 0.500 0.500 0.500


# 29
DFT (PBE) results for a relaxed MgBeCl2 crystal.

## Properties
- Magnetization: 0.0 μB per cell
- Energy: -2.297 eV/atom
- Calculated volume: 18.70 Å³/atom

Cell lengths 4.730, 4.730, 4.730 Å; angles 60.00, 60.00, 60.00 degrees
Fractional coordinates of all 4 atoms:
Mg 0.000 0.000 0.000
Be 0.500 0.500 0.500
Cl 0.250 0.250 0.250
Cl 0.750 0.750 0.750


# 30
DFT (PBE) results for a relaxed MgBe2Cl crystal.

## Properties
- Magnetization: 0.0 μB per cell
- Energy: -2.720 eV/atom
- Calculated volume: 18.32 Å³/atom

Cell lengths 3.002, 3.002, 8.132 Å; angles 90.00, 90.00, 90.00 degrees
Fractional coordinates of all 4 atoms:
Mg 0.000 0.000 0.000
Be 0.000 0.000 0.328
Be 0.500 0.500 0.254
Cl 0.500 0.500 0.821